[1]
# ErThZnPb

ErThZnPb after structural relaxation (PBE-GGA, Alexandria).

```
data_ErThZnPb
_chemical_formula_sum 'Er4 Th4 Zn4 Pb4'
_cell_length_a 7.531
_cell_length_b 7.531
_cell_length_c 7.531
_cell_angle_alpha 90.00
_cell_angle_beta 90.00
_cell_angle_gamma 90.00
_symmetry_space_group_name_H-M 'F -4 3 m'
_symmetry_Int_Tables_number 216
_symmetry_space_group_name_Hall 'F -4 2 3'
loop_
_atom_site_label
_atom_site_fract_x
_atom_site_fract_y
_atom_site_fract_z
_atom_site_occupancy
Er1 0.000 0.000 0.000 1
Th1 0.000 0.000 0.500 1
Zn1 0.250 0.250 0.750 1
Pb1 0.250 0.250 0.250 1
```

Output
energy of formation	-83	kJ/mol of formula units
DOS(E_F)	14.79	states/eV per cell
V	427	Å³/cell

[2]
# AcScNiPd

AcScNiPd after structural relaxation (PBE-GGA, Alexandria).

```
data_AcScNiPd
_chemical_formula_sum 'Ac4 Sc4 Ni4 Pd4'
_cell_length_a 7.071
_cell_length_b 7.071
_cell_length_c 7.071
_cell_angle_alpha 90.00
_cell_angle_beta 90.00
_cell_angle_gamma 90.00
_symmetry_space_group_name_H-M 'F -4 3 m'
_symmetry_Int_Tables_number 216
_symmetry_space_group_name_Hall 'F -4 2 3'
loop_
_atom_site_label
_atom_site_fract_x
_atom_site_fract_y
_atom_site_fract_z
_atom_site_occupancy
Ac1 0.000 0.000 0.000 1
Sc1 0.000 0.000 0.500 1
Ni1 0.250 0.250 0.250 1
Pd1 0.250 0.250 0.750 1
```

Output
energy of formation	-144	kJ/mol of formula units
DOS(E_F)	18.36	states/eV per cell
V	354	Å³/cell

[3]
# Ho3GaTe6

Ho3GaTe6 after structural relaxation (PBE-GGA, Alexandria).

```
data_Ho3GaTe6
_chemical_formula_sum 'Ho12 Ga4 Te24'
_cell_length_a 12.059
_cell_length_b 14.912
_cell_length_c 7.230
_cell_angle_alpha 90.00
_cell_angle_beta 90.00
_cell_angle_gamma 90.00
_symmetry_space_group_name_H-M 'C m c 21'
_symmetry_Int_Tables_number 36
_symmetry_space_group_name_Hall 'C 2c -2'
loop_
_atom_site_label
_atom_site_fract_x
_atom_site_fract_y
_atom_site_fract_z
_atom_site_occupancy
Ho1 0.000 0.094 0.000 1
Ho2 0.181 0.403 0.889 1
Ga1 0.000 0.295 0.356 1
Te1 0.000 0.279 0.722 1
Te2 0.000 0.461 0.205 1
Te3 0.164 0.038 0.697 1
Te4 0.170 0.230 0.166 1
```

Output
V	1300	Å³/cell
calculated total energy	-46.42	eV per formula unit

[4]
# AlRu3

AlRu3 after structural relaxation (PBE-GGA, Alexandria).

```
data_AlRu3
_chemical_formula_sum 'Al4 Ru12'
_cell_length_a 3.796
_cell_length_b 3.796
_cell_length_c 15.564
_cell_angle_alpha 90.00
_cell_angle_beta 90.00
_cell_angle_gamma 90.00
_symmetry_space_group_name_H-M 'I 4/m m m'
_symmetry_Int_Tables_number 139
_symmetry_space_group_name_Hall '-I 4 2'
loop_
_atom_site_label
_atom_site_fract_x
_atom_site_fract_y
_atom_site_fract_z
_atom_site_occupancy
Al1 0.000 0.000 0.122 1
Ru1 0.000 0.000 0.373 1
Ru2 0.000 0.500 0.000 1
Ru3 0.000 0.500 0.250 1
```

Output
energy of formation	-34	kJ/mol of formula units
DOS(E_F)	22.48	states/eV per cell
V	224	Å³/cell